Entry 1:
A relaxed structure of Pm8PrNd4, computed with PBE. Values from VASP.

Structure (Quantum ESPRESSO input):
```
&SYSTEM
  ibrav = 0, nat = 13, ntyp = 3
/
ATOMIC_SPECIES
Pm 145.00 Pm.upf
Pr 140.91 Pr.upf
Nd 144.24 Nd.upf
CELL_PARAMETERS angstrom
5.675 3.277 4.515
-5.675 3.277 4.515
0.000 -6.553 4.515
ATOMIC_POSITIONS crystal
Pm 0.235 0.235 0.754
Pm 0.235 0.754 0.235
Pm 0.237 0.237 0.237
Pm 0.246 0.765 0.765
Pm 0.754 0.235 0.235
Pm 0.763 0.763 0.763
Pm 0.765 0.246 0.765
Pm 0.765 0.765 0.246
Pr 0.500 0.500 0.500
Nd 0.000 0.000 0.000
Nd 0.000 0.500 0.500
Nd 0.500 0.000 0.500
Nd 0.500 0.500 0.000
```

## Properties
The calculation puts the formation energy at 0.4825 eV/atom.

Entry 2:
A relaxed structure of Dy3Ho5Sc3, computed with PBE. Values from VASP.

Structure (Quantum ESPRESSO input):
```
&SYSTEM
  ibrav = 0, nat = 11, ntyp = 3
/
ATOMIC_SPECIES
Dy 162.50 Dy.upf
Ho 164.93 Ho.upf
Sc 44.96 Sc.upf
CELL_PARAMETERS angstrom
10.773 0.000 0.000
-5.386 9.329 0.000
0.000 0.000 3.370
ATOMIC_POSITIONS crystal
Dy 0.000 0.346 0.000
Dy 0.346 0.000 0.000
Dy 0.654 0.654 0.000
Ho 0.000 0.835 0.000
Ho 0.165 0.165 0.000
Ho 0.333 0.667 0.000
Ho 0.667 0.333 0.000
Ho 0.835 0.000 0.000
Sc 0.000 0.592 0.500
Sc 0.408 0.408 0.500
Sc 0.592 0.000 0.500
```

## Properties
The calculation puts the formation energy at 0.3634 eV/atom.

Entry 3:
A relaxed structure of Ce2SmGe, computed with PBE. Values from VASP.

Structure (Quantum ESPRESSO input):
```
&SYSTEM
  ibrav = 0, nat = 4, ntyp = 3
/
ATOMIC_SPECIES
Ce 140.12 Ce.upf
Sm 150.36 Sm.upf
Ge 72.64 Ge.upf
CELL_PARAMETERS angstrom
0.000 3.741 3.741
3.741 0.000 3.741
3.741 3.741 0.000
ATOMIC_POSITIONS crystal
Ce 0.250 0.250 0.250
Ce 0.750 0.750 0.750
Sm 0.000 0.000 0.000
Ge 0.500 0.500 0.500
```

## Properties
The calculation puts the offset from the most stable computed form at 0.3794 eV per atom. The calculation puts the formation energy at -0.0862 eV/atom.

Number 1: calculated volume 503.74 Å³/f.u., E_tot -4.28 eV/atom. Number 2: calculated volume 338.68 Å³/f.u., E_tot -4.70 eV/atom. Number 3: calculated volume 104.70 Å³/f.u., E_tot -5.39 eV/atom.